1.
A relaxed ScMn2HgC crystal, computed with PBE.

Lattice parameters (Å, degrees): 3.9619 3.9619 4.4782 90.00 90.00 90.00
Atoms (fractional coordinates):
Sc 0.0000 0.0000 0.0000
Mn 0.0000 0.5000 0.5000
Mn 0.5000 0.0000 0.5000
Hg 0.5000 0.5000 0.0000
C 0.0000 0.0000 0.5000

* ΔE_f: -0.07 eV/atom
* crystal system: tetragonal



2.
A relaxed Mn2SnHgC crystal, computed with PBE.

Lattice parameters (Å, degrees): 5.1084 5.1084 5.4161 90.00 90.00 90.00
Atoms (fractional coordinates):
Mn 0.0000 0.5000 0.0000
Mn 0.5000 0.0000 0.0000
Sn 0.0000 0.0000 0.5000
Hg 0.0000 0.0000 0.0000
C 0.5000 0.5000 0.5000

* ΔE_f: 2.16 eV/atom
* crystal system: tetragonal



3.
A relaxed SrMn2HgC crystal, computed with PBE.

Lattice parameters (Å, degrees): 4.2676 4.2676 5.4743 90.00 90.00 90.00
Atoms (fractional coordinates):
Sr 0.0000 0.0000 0.0000
Mn 0.0000 0.5000 0.5000
Mn 0.5000 0.0000 0.5000
Hg 0.5000 0.5000 0.0000
C 0.5000 0.5000 0.5000

* ΔE_f: 0.57 eV/atom
* crystal system: tetragonal



4.
A relaxed MnHg2TeC crystal, computed with PBE.

Lattice parameters (Å, degrees): 5.2341 5.2341 5.0407 90.00 90.00 90.00
Atoms (fractional coordinates):
Mn 0.0000 0.0000 0.0000
Hg 0.0000 0.5000 0.0000
Hg 0.5000 0.0000 0.0000
Te 0.0000 0.0000 0.5000
C 0.5000 0.5000 0.5000

* E_form (uncorrected): 1.557 eV per atom
* crystal system: tetragonal



5.
A relaxed Tm2MnHgC crystal, computed with PBE.

Lattice parameters (Å, degrees): 4.9372 4.9372 3.7850 90.00 90.00 90.00
Atoms (fractional coordinates):
Tm 0.0000 0.5000 0.0000
Tm 0.5000 0.0000 0.0000
Mn 0.0000 0.0000 0.5000
Hg 0.5000 0.5000 0.5000
C 0.0000 0.0000 0.0000

* ΔE_f: -0.36 eV/atom
* crystal system: tetragonal



6.
A relaxed Y2MnHgC crystal, computed with PBE.

Lattice parameters (Å, degrees): 5.0555 5.0555 3.8094 90.00 90.00 90.00
Atoms (fractional coordinates):
Y 0.0000 0.5000 0.0000
Y 0.5000 0.0000 0.0000
Mn 0.0000 0.0000 0.5000
Hg 0.5000 0.5000 0.5000
C 0.0000 0.0000 0.0000

* ΔE_f: -0.34 eV/atom
* crystal system: tetragonal



7.
A relaxed HgMo3C crystal, computed with PBE.

Lattice parameters (Å, degrees): 4.9373 4.9373 4.9373 90.00 90.00 90.00
Atoms (fractional coordinates):
Hg 0.0000 0.0000 0.0000
Mo 0.0000 0.0000 0.5000
Mo 0.0000 0.5000 0.0000
Mo 0.5000 0.0000 0.0000
C 0.5000 0.5000 0.5000

* ΔE_f: 3.92 eV/atom
* crystal system: cubic
* E above lowest polymorph: 3.607 eV per atom



8.
A relaxed Hg2MoC crystal, computed with PBE.

Lattice parameters (Å, degrees): 6.4821 6.4821 6.4821 95.88 95.88 142.67
Atoms (fractional coordinates):
Hg 0.0093 0.6250 0.8843
Hg 0.3750 0.2593 0.3843
Hg 0.7407 0.1250 0.1157
Hg 0.8750 0.9907 0.6157
Mo 0.2500 0.7500 0.5000
Mo 0.5000 0.5000 0.0000
C 0.0000 0.0000 0.0000
C 0.7500 0.2500 0.5000

* ΔE_f: 1.24 eV/atom
* crystal system: tetragonal



9.
A relaxed HgMo2C crystal, computed with PBE.

Lattice parameters (Å, degrees): 6.7983 6.7983 6.7983 135.80 135.80 64.28
Atoms (fractional coordinates):
Hg 0.0000 0.0000 0.0000
Hg 0.7500 0.2500 0.5000
Mo 0.2654 0.6250 0.1404
Mo 0.3750 0.5154 0.6404
Mo 0.4846 0.1250 0.8596
Mo 0.8750 0.7346 0.3596
C 0.2500 0.7500 0.5000
C 0.5000 0.5000 0.0000

* ΔE_f: 1.04 eV/atom
* crystal system: tetragonal



10.
A relaxed HgMoC2 crystal, computed with PBE.

Lattice parameters (Å, degrees): 5.9806 5.9806 5.9806 129.67 129.67 73.93
Atoms (fractional coordinates):
Hg 0.0000 0.0000 0.0000
Hg 0.7500 0.2500 0.5000
Mo 0.2500 0.7500 0.5000
Mo 0.5000 0.5000 0.0000
C 0.1909 0.6250 0.0659
C 0.3750 0.4409 0.5659
C 0.5591 0.1250 0.9341
C 0.8750 0.8091 0.4341

* ΔE_f: 1.02 eV/atom
* crystal system: tetragonal



11.
A relaxed HgMo3C crystal, computed with PBE.

Lattice parameters (Å, degrees): 4.2136 4.2136 4.2136 90.00 90.00 90.00
Atoms (fractional coordinates):
Hg 0.0000 0.0000 0.0000
Mo 0.0000 0.5000 0.5000
Mo 0.5000 0.0000 0.5000
Mo 0.5000 0.5000 0.0000
C 0.5000 0.5000 0.5000

* ΔE_f: 0.31 eV/atom
* crystal system: cubic
* E above lowest polymorph: 0.000 eV per atom



12.
A relaxed NaHgMo2C crystal, computed with PBE.

Lattice parameters (Å, degrees): 5.2645 5.2645 5.2879 90.00 90.00 90.00
Atoms (fractional coordinates):
Na 0.0000 0.0000 0.0000
Hg 0.0000 0.0000 0.5000
Mo 0.0000 0.5000 0.5000
Mo 0.5000 0.0000 0.5000
C 0.5000 0.5000 0.0000

* ΔE_f: 2.97 eV/atom
* crystal system: tetragonal



13.
A relaxed Sc2HgMoC crystal, computed with PBE.

Lattice parameters (Å, degrees): 4.5356 4.5356 4.1600 90.00 90.00 90.00
Atoms (fractional coordinates):
Sc 0.0000 0.5000 0.0000
Sc 0.5000 0.0000 0.0000
Hg 0.0000 0.0000 0.5000
Mo 0.5000 0.5000 0.5000
C 0.5000 0.5000 0.0000

* ΔE_f: -0.34 eV/atom
* crystal system: tetragonal



14.
A relaxed SiHgMo2C crystal, computed with PBE.

Lattice parameters (Å, degrees): 5.3226 5.3226 4.6082 90.00 90.00 90.00
Atoms (fractional coordinates):
Si 0.0000 0.0000 0.0000
Hg 0.0000 0.0000 0.5000
Mo 0.0000 0.5000 0.5000
Mo 0.5000 0.0000 0.5000
C 0.5000 0.5000 0.0000

* E_form (uncorrected): 3.293 eV per atom
* crystal system: tetragonal



15.
A relaxed TcHgMoC2 crystal, computed with PBE.

Lattice parameters (Å, degrees): 4.0080 4.0080 5.3191 90.00 90.00 90.00
Atoms (fractional coordinates):
Tc 0.0000 0.0000 0.0000
Hg 0.0000 0.0000 0.5000
Mo 0.5000 0.5000 0.0000
C 0.0000 0.5000 0.5000
C 0.5000 0.0000 0.5000

* ΔE_f: 3.38 eV/atom
* crystal system: tetragonal



16.
A relaxed Ti2HgMoC crystal, computed with PBE.

Lattice parameters (Å, degrees): 4.2639 4.2639 4.1366 90.00 90.00 90.00
Atoms (fractional coordinates):
Ti 0.0000 0.5000 0.0000
Ti 0.5000 0.0000 0.0000
Hg 0.0000 0.0000 0.5000
Mo 0.5000 0.5000 0.5000
C 0.5000 0.5000 0.0000

* ΔE_f: -0.27 eV/atom
* crystal system: tetragonal



17.
A relaxed VHgMo2C crystal, computed with PBE.

Lattice parameters (Å, degrees): 4.9541 4.9541 4.7509 90.00 90.00 90.00
Atoms (fractional coordinates):
V 0.0000 0.0000 0.0000
Hg 0.0000 0.0000 0.5000
Mo 0.0000 0.5000 0.5000
Mo 0.5000 0.0000 0.5000
C 0.5000 0.5000 0.0000

* ΔE_f: 3.65 eV/atom
* crystal system: tetragonal



18.
A relaxed Zr2HgMoC crystal, computed with PBE.

Lattice parameters (Å, degrees): 4.6391 4.6391 4.1037 90.00 90.00 90.00
Atoms (fractional coordinates):
Zr 0.0000 0.5000 0.0000
Zr 0.5000 0.0000 0.0000
Hg 0.0000 0.0000 0.5000
Mo 0.5000 0.5000 0.5000
C 0.5000 0.5000 0.0000

* ΔE_f: -0.30 eV/atom
* crystal system: tetragonal



19.
A relaxed HgCN crystal, computed with PBE.

Lattice parameters (Å, degrees): 7.2484 7.2484 4.7725 94.10 94.10 21.14
Atoms (fractional coordinates):
Hg 0.0711 0.0711 0.3174
Hg 0.9289 0.9289 0.6826
C 0.1939 0.1939 0.0294
C 0.8061 0.8061 0.9706
N 0.2953 0.2953 0.1255
N 0.7047 0.7047 0.8745

* E_form (uncorrected): 0.933 eV per atom
* crystal system: monoclinic



20.
A relaxed Hg2CN2 crystal, computed with PBE.

Lattice parameters (Å, degrees): 5.9254 5.9254 4.0972 90.00 90.00 90.00
Atoms (fractional coordinates):
Hg 0.1721 0.3279 0.0000
Hg 0.3279 0.8279 0.0000
Hg 0.6721 0.1721 0.0000
Hg 0.8279 0.6721 0.0000
C 0.0000 0.0000 0.5000
C 0.5000 0.5000 0.5000
N 0.2478 0.2522 0.5000
N 0.2522 0.7522 0.5000
N 0.7478 0.2478 0.5000
N 0.7522 0.7478 0.5000

* E_form (uncorrected): 2.385 eV per atom
* crystal system: tetragonal
* E above lowest polymorph: 0.856 eV per atom